# 1
Computed, not measured: Li2NdMgHg2 after structural relaxation at the PBE-GGA level of DFT.

Results
SG = P-3m1 (164)
ΔH_f (0 K) = -0.339 eV/atom

Lattice parameters (Å, degrees): 4.7165 4.7165 6.9397 90.00 90.00 120.00
Atoms (fractional coordinates):
1 Hg 0.6667 0.3333 0.7410
2 Hg 0.3333 0.6667 0.2590
3 Li 0.3333 0.6667 0.6728
4 Li 0.6667 0.3333 0.3272
5 Nd 0.0000 0.0000 0.0000
6 Mg 0.0000 0.0000 0.5000

# 2
Computed, not measured: Ce2ZnGa2Rh5 after structural relaxation at the PBE-GGA level of DFT.

Results
SG = P4/mbm (127)
ΔH_f (0 K) = -0.667 eV/atom

Lattice parameters (Å, degrees): 3.6281 9.7393 9.7393 90.00 90.00 90.00
Last column: magnetic moment on the atom in μB.
Atoms (fractional coordinates):
1 Rh 0.5000 0.5000 0.0000  -0.03
2 Rh 0.5000 0.2026 0.0724  -0.03
3 Rh 0.5000 0.0000 0.5000  -0.03
4 Rh 0.5000 0.7974 0.9276  -0.03
5 Rh 0.5000 0.4276 0.2974  -0.03
6 Rh 0.5000 0.2974 0.5724  -0.03
7 Rh 0.5000 0.7026 0.4276  -0.03
8 Rh 0.5000 0.0724 0.7974  -0.03
9 Rh 0.5000 0.5724 0.7026  -0.03
10 Rh 0.5000 0.9276 0.2026  -0.03
11 Ga 0.0000 0.6231 0.8769  0.00
12 Ga 0.0000 0.1231 0.6231  0.00
13 Ga 0.0000 0.8769 0.3769  0.00
14 Ga 0.0000 0.3769 0.1231  0.00
15 Ce 0.0000 0.3241 0.8241  0.29
16 Ce 0.0000 0.1759 0.3241  0.29
17 Ce 0.0000 0.6759 0.1759  0.29
18 Ce 0.0000 0.8241 0.6759  0.29
19 Zn 0.0000 0.5000 0.5000  0.00
20 Zn 0.0000 0.0000 0.0000  0.00

# 3
Computed, not measured: NdPu2Ga2Ge2 after structural relaxation at the PBE-GGA level of DFT.

Results
SG = R-3m (166)
ΔH_f (0 K) = -0.181 eV/atom

Lattice parameters (Å, degrees): 4.2626 4.2626 9.6318 77.22 77.22 60.00
Last column: magnetic moment on the atom in μB.
Atoms (fractional coordinates):
1 Ge 0.2674 0.2674 0.1978  0.00
2 Ge 0.7326 0.7326 0.8022  0.00
3 Ga 0.4256 0.4256 0.7232  0.01
4 Ga 0.5744 0.5744 0.2768  0.01
5 Pu 0.8438 0.8438 0.4685  3.53
6 Pu 0.1562 0.1562 0.5315  3.53
7 Nd 0.0000 0.0000 0.0000  0.00

# 4
Computed, not measured: BaY2Sn after structural relaxation at the PBE-GGA level of DFT.

Results
SG = I-42d (122)
ΔH_f (0 K) = 0.001 eV/atom

Lattice parameters (Å, degrees): 9.3498 9.3498 7.4924 51.39 51.39 90.00
Atoms (fractional coordinates):
1 Sn 0.2500 0.7500 0.5000
2 Sn 0.5000 0.5000 0.0000
3 Ba 0.7500 0.2500 0.5000
4 Ba 0.0000 0.0000 0.0000
5 Y 0.8750 0.8150 0.7500
6 Y 0.1850 0.6250 0.2500
7 Y 0.3750 0.4350 0.7500
8 Y 0.5650 0.1250 0.2500

# 5
Computed, not measured: Li2SiS after structural relaxation at the PBE-GGA level of DFT.

Results
Formation energy from raw total energies = -0.806 eV/atom
SG = R3m (160)
Energy relative to the lowest polymorph listed for this composition = 23 meV per atom

Lattice parameters (Å, degrees): 3.9369 3.9369 30.1586 90.00 90.00 120.00
Atoms (fractional coordinates):
1 Li 0.6667 0.3333 0.2096
2 Li 0.3333 0.6667 0.3787
3 Li 0.3333 0.6667 0.0983
4 Li 0.3333 0.6667 0.5429
5 Li 0.0000 0.0000 0.8762
6 Li 0.0000 0.0000 0.1576
7 Li 0.0000 0.0000 0.4316
8 Li 0.6667 0.3333 0.7650
9 Li 0.6667 0.3333 0.4910
10 Li 0.6667 0.3333 0.0454
11 Li 0.3333 0.6667 0.8243
12 Li 0.0000 0.0000 0.7121
13 S 0.0000 0.0000 0.7904
14 S 0.3333 0.6667 0.4571
15 S 0.0000 0.0000 0.5555
16 S 0.6667 0.3333 0.1237
17 S 0.6667 0.3333 0.8889
18 S 0.3333 0.6667 0.2222
19 Si 0.3333 0.6667 0.2949
20 Si 0.3333 0.6667 0.9919
21 Si 0.6667 0.3333 0.6586
22 Si 0.0000 0.0000 0.3252
23 Si 0.0000 0.0000 0.6282
24 Si 0.6667 0.3333 0.9616

# 6
Computed, not measured: La2SmBr after structural relaxation at the PBE-GGA level of DFT.

Results
Formation energy from raw total energies = -0.587 eV/atom
SG = R3m (160)
Energy relative to the lowest polymorph listed for this composition = 0 meV per atom

Lattice parameters (Å, degrees): 3.8003 3.8003 10.9620 80.02 80.02 60.00
Last column: magnetic moment on the atom in μB.
Atoms (fractional coordinates):
1 Sm 0.5003 0.5003 0.4992  0.19
2 La 0.2582 0.2582 0.2255  0.10
3 La 0.0754 0.0754 0.7738  0.12
4 Br 0.6662 0.6662 0.0014  0.01

# 7
Computed, not measured: RePt6Rh2 after structural relaxation at the PBE-GGA level of DFT.

Results
SG = P-1 (2)
ΔH_f (0 K) = 0.058 eV/atom

Lattice parameters (Å, degrees): 4.6472 5.3910 8.8336 63.02 115.66 73.55
Atoms (fractional coordinates):
1 Pt 0.6229 0.5569 0.3801
2 Pt 0.9464 0.2216 0.0457
3 Pt 0.3771 0.4431 0.6199
4 Pt 0.3015 0.8983 0.7121
5 Pt 0.0536 0.7784 0.9543
6 Pt 0.6985 0.1017 0.2879
7 Re 0.5000 0.0000 0.0000
8 Rh 0.8831 0.6230 0.6913
9 Rh 0.1169 0.3770 0.3087

# 8
Computed, not measured: PaMnCoB2 after structural relaxation at the PBE-GGA level of DFT.

Results
SG = I-4m2 (119)
ΔH_f (0 K) = -0.466 eV/atom

Lattice parameters (Å, degrees): 3.7250 3.7250 4.8731 112.47 112.47 90.00
Atoms (fractional coordinates):
1 Mn 0.2500 0.7500 0.5000
2 B 0.6197 0.6197 0.2393
3 B 0.3803 0.3803 0.7607
4 Pa 0.0000 0.0000 0.0000
5 Co 0.7500 0.2500 0.5000

# 9
Computed, not measured: NaNdCdIn after structural relaxation at the PBE-GGA level of DFT.

Results
SG = F-43m (216)
ΔH_f (0 K) = -0.265 eV/atom

Lattice parameters (Å, degrees): 5.3469 5.3469 5.3469 60.00 60.00 60.00
Atoms (fractional coordinates):
1 Nd 0.5000 0.5000 0.5000
2 Cd 0.7500 0.7500 0.7500
3 Na 0.0000 0.0000 0.0000
4 In 0.2500 0.2500 0.2500

# 10
Computed, not measured: BMoWSe2 after structural relaxation at the PBE-GGA level of DFT.

Results
Formation energy from raw total energies = 1.219 eV/atom
SG = P4/mmm (123)

Lattice parameters (Å, degrees): 4.3852 4.0712 4.3852 90.00 90.00 90.00
Atoms (fractional coordinates):
1 Se 0.0000 0.0000 0.5000
2 Se 0.5000 0.0000 0.0000
3 Mo 0.0000 0.5000 0.0000
4 W 0.5000 0.5000 0.5000
5 B 0.0000 0.0000 0.0000

# 11
Computed, not measured: BaMg2Ni after structural relaxation at the PBE-GGA level of DFT.

Results
SG = I4/mmm (139)
ΔH_f (0 K) = 0.292 eV/atom

Lattice parameters (Å, degrees): 5.7562 5.7562 5.7562 132.15 132.15 69.99
Atoms (fractional coordinates):
1 Ni 0.2500 0.7500 0.5000
2 Ba 0.7500 0.2500 0.5000
3 Mg 0.5000 0.5000 0.0000
4 Mg 0.0000 0.0000 0.0000

# 12
Computed, not measured: Ac3CdGe6Pd2 after structural relaxation at the PBE-GGA level of DFT.

Results
SG = P-3m1 (164)
ΔH_f (0 K) = -0.391 eV/atom

Lattice parameters (Å, degrees): 6.3138 6.3138 8.7118 90.00 90.00 120.00
Atoms (fractional coordinates):
1 Cd 0.0000 0.0000 0.5000
2 Pd 0.3333 0.6667 0.0278
3 Pd 0.6667 0.3333 0.9722
4 Ge 0.8028 0.1972 0.7236
5 Ge 0.1972 0.8028 0.2764
6 Ge 0.3944 0.1972 0.7236
7 Ge 0.6056 0.8028 0.2764
8 Ge 0.1972 0.3944 0.2764
9 Ge 0.8028 0.6056 0.7236
10 Ac 0.0000 0.0000 0.0000
11 Ac 0.3333 0.6667 0.6336
12 Ac 0.6667 0.3333 0.3664

# 13
Computed, not measured: CrPt2Se after structural relaxation at the PBE-GGA level of DFT.

Results
Formation energy from raw total energies = 0.019 eV/atom
SG = Pm (6)

Lattice parameters (Å, degrees): 3.6643 3.1943 5.8107 74.20 90.00 90.00
Last column: magnetic moment on the atom in μB.
Atoms (fractional coordinates):
1 Pt 0.5000 0.4476 0.2326  -0.06
2 Pt 0.0000 0.0661 0.9916  0.03
3 Cr 0.5000 0.6965 0.7314  3.06
4 Se 0.0000 0.2898 0.5444  -0.12

# 14
Computed, not measured: CdGa2SnSe after structural relaxation at the PBE-GGA level of DFT.

Results
Formation energy from raw total energies = 0.350 eV/atom
SG = P4/mmm (123)

Lattice parameters (Å, degrees): 5.1854 5.2719 5.1854 90.00 90.00 90.00
Atoms (fractional coordinates):
1 Ga 0.0000 0.0000 0.5000
2 Ga 0.5000 0.0000 0.0000
3 Cd 0.0000 0.5000 0.0000
4 Se 0.0000 0.0000 0.0000
5 Sn 0.5000 0.5000 0.5000

# 15
Computed, not measured: SmTm2CdAu4 after structural relaxation at the PBE-GGA level of DFT.

Results
SG = R-3m (166)
ΔH_f (0 K) = -0.746 eV/atom

Lattice parameters (Å, degrees): 4.9950 4.9950 8.7597 73.43 73.43 60.00
Atoms (fractional coordinates):
1 Au 0.3738 0.3738 0.8786
2 Au 0.8786 0.8786 0.3642
3 Au 0.1214 0.1214 0.6358
4 Au 0.6262 0.6262 0.1214
5 Sm 0.0000 0.0000 0.0000
6 Tm 0.2424 0.2424 0.2729
7 Tm 0.7576 0.7576 0.7271
8 Cd 0.5000 0.5000 0.5000

# 16
Computed, not measured: CeTiGe after structural relaxation at the PBE-GGA level of DFT.

Results
SG = I4/mmm (139)
ΔH_f (0 K) = -0.557 eV/atom

Lattice parameters (Å, degrees): 8.4368 8.4368 8.4368 151.96 151.96 40.08
Last column: magnetic moment on the atom in μB.
Atoms (fractional coordinates):
1 Ge 0.8832 0.8832 0.0000  -0.04
2 Ge 0.1168 0.1168 0.0000  -0.04
3 Ce 0.6759 0.6759 0.0000  0.91
4 Ce 0.3241 0.3241 0.0000  0.91
5 Ti 0.0000 0.5000 0.5000  0.73
6 Ti 0.5000 0.0000 0.5000  0.73

# 17
Computed, not measured: Rb2TlGeBr6 after structural relaxation at the PBE-GGA level of DFT.

Results
Formation energy from raw total energies = -1.059 eV/atom
SG = I4/mmm (139)
Energy relative to the lowest polymorph listed for this composition = 0 meV per atom

Lattice parameters (Å, degrees): 8.1063 8.1063 8.0895 59.93 59.93 90.00
Atoms (fractional coordinates):
1 Br 0.7342 0.2658 0.0000
2 Br 0.2658 0.7342 0.0000
3 Br 0.2658 0.2658 0.0000
4 Br 0.2655 0.2655 0.4689
5 Br 0.7345 0.7345 0.5311
6 Br 0.7342 0.7342 0.0000
7 Tl 0.0000 0.0000 0.0000
8 Ge 0.5000 0.5000 0.0000
9 Rb 0.7500 0.2500 0.5000
10 Rb 0.2500 0.7500 0.5000

# 18
Computed, not measured: HoSc2Cd2In2 after structural relaxation at the PBE-GGA level of DFT.

Results
SG = R-3m (166)
ΔH_f (0 K) = -0.216 eV/atom

Lattice parameters (Å, degrees): 4.8572 4.8572 8.7700 73.92 73.92 60.00
Last column: magnetic moment on the atom in μB.
Atoms (fractional coordinates):
1 Ho 0.0000 0.0000 0.0000  0.06
2 Sc 0.1359 0.1359 0.5924  0.10
3 Sc 0.8641 0.8641 0.4076  0.10
4 Cd 0.4336 0.4336 0.6992  0.00
5 Cd 0.5664 0.5664 0.3008  0.00
6 In 0.2648 0.2648 0.2055  0.00
7 In 0.7352 0.7352 0.7945  0.00

# 19
Computed, not measured: LaNdEr6 after structural relaxation at the PBE-GGA level of DFT.

Results
SG = C2/m (12)
ΔH_f (0 K) = 0.371 eV/atom
Energy relative to the lowest polymorph listed for this composition = 340 meV per atom

Lattice parameters (Å, degrees): 6.1654 6.1654 9.3360 85.64 117.38 114.75
Atoms (fractional coordinates):
1 Er 0.8397 0.9407 0.2976
2 Er 0.3569 0.4579 0.2976
3 Er 0.7018 0.3780 0.0797
4 Er 0.6431 0.5421 0.7024
5 Er 0.1603 0.0593 0.7024
6 Er 0.2982 0.6220 0.9203
7 La 0.5000 0.0000 0.5000
8 Nd 0.0000 0.0000 0.0000

# 20
Computed, not measured: RbAg2Pt after structural relaxation at the PBE-GGA level of DFT.

Results
SG = Fm-3m (225)
ΔH_f (0 K) = 0.429 eV/atom
Energy relative to the lowest polymorph listed for this composition = 404 meV per atom

Lattice parameters (Å, degrees): 5.0350 5.0350 5.0350 60.00 60.00 60.00
Atoms (fractional coordinates):
1 Pt 0.5000 0.5000 0.5000
2 Rb 0.0000 0.0000 0.0000
3 Ag 0.2500 0.2500 0.2500
4 Ag 0.7500 0.7500 0.7500

# 21
Computed, not measured: La3PmTc after structural relaxation at the PBE-GGA level of DFT.

Results
SG = Pm-3m (221)
ΔH_f (0 K) = 0.090 eV/atom
Energy relative to the lowest polymorph listed for this composition = 72 meV per atom

Lattice parameters (Å, degrees): 5.5664 5.5664 5.5664 90.00 90.00 90.00
Atoms (fractional coordinates):
1 La 0.0000 0.0000 0.5000
2 La 0.0000 0.5000 0.0000
3 La 0.5000 0.0000 0.0000
4 Tc 0.0000 0.0000 0.0000
5 Pm 0.5000 0.5000 0.5000

# 22
Computed, not measured: CeHo2Tm3Te6 after structural relaxation at the PBE-GGA level of DFT.

Results
Formation energy from raw total energies = -1.233 eV/atom
SG = C2/m (12)

Lattice parameters (Å, degrees): 4.3048 8.7701 9.7554 103.90 102.75 90.00
Last column: magnetic moment on the atom in μB.
Atoms (fractional coordinates):
1 Te 0.6681 0.5838 0.3361  0.00
2 Te 0.3278 0.9178 0.6557  0.00
3 Te 0.0009 0.7392 0.0018  0.00
4 Te 0.3319 0.4162 0.6639  0.00
5 Te 0.9991 0.2608 0.9982  0.00
6 Te 0.6722 0.0822 0.3443  0.00
7 Tm 0.8367 0.1677 0.6733  0.01
8 Tm 0.5000 0.5000 0.0000  0.01
9 Tm 0.1633 0.8323 0.3267  0.01
10 Ce 0.5000 0.0000 0.0000  0.96
11 Ho 0.8376 0.6746 0.6752  0.03
12 Ho 0.1624 0.3254 0.3248  0.03

# 23
Computed, not measured: PrCuAu2 after structural relaxation at the PBE-GGA level of DFT.

Results
SG = Pnma (62)
ΔH_f (0 K) = -0.576 eV/atom
Energy relative to the lowest polymorph listed for this composition = 0 meV per atom

Lattice parameters (Å, degrees): 5.5189 7.6020 15.5105 90.00 90.00 90.00
Atoms (fractional coordinates):
1 Pr 0.0316 0.2500 0.6399
2 Pr 0.4684 0.2500 0.1399
3 Pr 0.2374 0.7500 0.1063
4 Pr 0.5316 0.7500 0.8601
5 Pr 0.7374 0.2500 0.3937
6 Pr 0.2626 0.7500 0.6063
7 Pr 0.7626 0.2500 0.8937
8 Pr 0.9684 0.7500 0.3601
9 Au 0.9478 0.4437 0.2148
10 Au 0.9478 0.0563 0.2148
11 Au 0.2395 0.0564 0.4647
12 Au 0.5522 0.0563 0.7148
13 Au 0.5522 0.4437 0.7148
14 Au 0.0522 0.9437 0.7852
15 Au 0.7395 0.5564 0.0353
16 Au 0.4478 0.9437 0.2852
17 Au 0.0522 0.5563 0.7852
18 Au 0.7605 0.9436 0.5353
19 Au 0.7395 0.9436 0.0353
20 Au 0.4478 0.5563 0.2852
21 Au 0.2605 0.0564 0.9647
22 Au 0.2605 0.4436 0.9647
23 Au 0.2395 0.4436 0.4647
24 Au 0.7605 0.5564 0.5353
25 Cu 0.7688 0.7500 0.6836
26 Cu 0.9740 0.2500 0.0692
27 Cu 0.4740 0.7500 0.4308
28 Cu 0.7312 0.7500 0.1836
29 Cu 0.2312 0.2500 0.3164
30 Cu 0.5260 0.2500 0.5692
31 Cu 0.2688 0.2500 0.8164
32 Cu 0.0260 0.7500 0.9308